Entry 1:
Computed, not measured: crystalline Zn3InAg7 at its relaxed geometry at the PBE level of DFT.

## Properties
E_form ... 0.112 eV/atom
Total magnetic moment ... 0.00 μB/f.u.

a = 5.4638 Å, b = 7.2365 Å, c = 7.2365 Å
α = 84.40°, β = 119.74°, γ = 119.74°
Last column: nearest neighbours and their distance in Å.
Fractional positions:
Zn 0.0000 0.7740 0.2260  7 Ag 2.65-2.75
Zn 0.5000 0.0000 0.0000  6 Ag 2.67-2.72
Zn 0.0000 0.2260 0.7740  7 Ag 2.65-2.75
In 0.5000 0.5000 0.5000  8 Ag 2.73-3.00
Ag 0.3171 0.1817 0.1817  3 Zn 2.67-2.72, 1 In 2.84, 3 Ag 2.92-2.96
Ag 0.3351 0.0536 0.5925  3 Zn 2.65-2.75, 3 Ag 2.89-2.96
Ag 0.6649 0.4075 0.9464  3 Zn 2.65-2.75, 3 Ag 2.89-2.96
Ag 0.3351 0.5925 0.0536  3 Zn 2.65-2.75, 3 Ag 2.89-2.96
Ag 0.0000 0.5000 0.5000  2 Zn 2.66, 2 In 2.73, 2 Ag 2.92
Ag 0.6649 0.9464 0.4075  3 Zn 2.65-2.75, 3 Ag 2.89-2.96
Ag 0.6829 0.8183 0.8183  3 Zn 2.67-2.72, 1 In 2.84, 3 Ag 2.92-2.96


Entry 2:
Computed, not measured: crystalline Cd2NiP at its relaxed geometry at the PBE level of DFT.

## Properties
E_form ... -0.012 eV/atom
Total magnetic moment ... 0.00 μB/f.u.

a = 6.2511 Å, b = 6.2511 Å, c = 6.2511 Å
α = 153.30°, β = 137.83°, γ = 50.61°
Last column: nearest neighbours and their distance in Å.
Fractional positions:
Cd 0.4928 0.9928 0.5000  4 Ni 2.70, 2 Cd 2.89
Cd 0.8058 0.8058 0.0000  2 Ni 2.87, 4 Cd 2.89-3.09, 4 P 3.05
Ni 0.0256 0.5256 0.5000  2 P 2.23
P 0.1757 0.1757 0.0000  2 Ni 2.23


Entry 3:
Computed, not measured: crystalline KPd2Pb at its relaxed geometry at the PBE level of DFT.

## Properties
E_form ... -0.055 eV/atom
Total magnetic moment ... 0.00 μB/f.u.

a = 3.5230 Å, b = 3.5230 Å, c = 7.7424 Å
α = 90.00°, β = 90.00°, γ = 90.00°
Last column: nearest neighbours and their distance in Å.
Fractional positions:
Pb 0.5000 0.5000 0.0000  8 Pd 2.89
K 0.5000 0.5000 0.5000  8 Pd 3.46, 4 K 3.52, 2 Pb 3.87
Pd 0.0000 0.0000 0.8110  4 Pb 2.89, 1 Pd 2.93
Pd 0.0000 0.0000 0.1890  4 Pb 2.89, 1 Pd 2.93


Entry 4:
Computed, not measured: crystalline LiY2Zn at its relaxed geometry at the PBE level of DFT.

## Properties
E_form ... 0.192 eV/atom
Total magnetic moment ... 0.00 μB/f.u.

a = 8.1164 Å, b = 8.1164 Å, c = 6.5452 Å
α = 51.68°, β = 51.68°, γ = 90.00°
Last column: nearest neighbours and their distance in Å.
Fractional positions:
Y 0.6449 0.1250 0.2500  2 Zn 2.87, 2 Li 3.09, 2 Y 3.16
Y 0.1051 0.6250 0.2500  2 Zn 2.87, 2 Li 3.09, 2 Y 3.16
Y 0.3750 0.3551 0.7500  2 Zn 2.87, 2 Li 3.09, 2 Y 3.16
Y 0.8750 0.8949 0.7500  2 Zn 2.87, 2 Li 3.09, 2 Y 3.16
Zn 0.0000 0.0000 0.0000  4 Y 2.87, 2 Li 3.15
Zn 0.7500 0.2500 0.5000  4 Y 2.87, 2 Li 3.15
Li 0.5000 0.5000 0.0000  4 Y 3.09, 2 Zn 3.15
Li 0.2500 0.7500 0.5000  4 Y 3.09, 2 Zn 3.15


Entry 5:
Computed, not measured: crystalline SrZnInRh at its relaxed geometry at the PBE level of DFT.

## Properties
E_form ... -0.373 eV/atom
Total magnetic moment ... 0.00 μB/f.u.

a = 4.4421 Å, b = 4.4421 Å, c = 6.3452 Å
α = 69.51°, β = 69.51°, γ = 60.00°
Last column: nearest neighbours and their distance in Å.
Fractional positions:
Sr 0.8188 0.8188 0.5436  3 Zn 3.33, 4 In 3.43-3.49, 4 Rh 3.44-3.51
Zn 0.2739 0.2739 0.1783  3 Rh 2.57
In 0.0160 0.0160 0.9520  3 Rh 2.81, 3 Zn 2.88
Rh 0.6172 0.6172 0.1484  3 Zn 2.57, 3 In 2.81


Entry 6:
Computed, not measured: crystalline Ni2MoBr at its relaxed geometry at the PBE level of DFT.

## Properties
Total magnetic moment ... 1.28 μB/f.u.
ΔE_f (raw) ... 347 kJ/mol of formula units
Polymorph energy (0 for the lowest one) ... 0.5678 eV/atom

a = 4.7823 Å, b = 4.7823 Å, c = 4.7823 Å
α = 132.84°, β = 132.84°, γ = 68.91°
Last column: nearest neighbours and their distance in Å.
Fractional positions:
Br 0.2500 0.7500 0.5000  4 Mo 2.71, 8 Ni 2.75
Mo 0.7500 0.2500 0.5000  4 Br 2.71, 8 Ni 2.75
Ni 0.0000 0.0000 0.0000  4 Ni 2.71, 4 Br 2.75, 4 Mo 2.75
Ni 0.5000 0.5000 0.0000  4 Ni 2.71, 4 Mo 2.75, 4 Br 2.75


Entry 7:
Computed, not measured: crystalline CoIrPt2 at its relaxed geometry at the PBE level of DFT.

## Properties
E_form ... 0.032 eV/atom
Total magnetic moment ... 2.38 μB/f.u.
Polymorph energy (0 for the lowest one) ... 0.0548 eV/atom

a = 4.7275 Å, b = 4.7275 Å, c = 4.7275 Å
α = 131.92°, β = 131.90°, γ = 70.38°
Last column: nearest neighbours and their distance in Å.
Fractional positions:
Co 0.7500 0.2500 0.5000  4 Ir 2.72, 8 Pt 2.73
Ir 0.2500 0.7500 0.5000  4 Co 2.72, 8 Pt 2.73
Pt 0.0000 0.0000 0.0000  4 Pt 2.72, 4 Co 2.73, 4 Ir 2.73
Pt 0.5000 0.5000 0.0000  4 Pt 2.72, 4 Co 2.73, 4 Ir 2.73


Entry 8:
Computed, not measured: crystalline Pu2MgV at its relaxed geometry at the PBE level of DFT.

## Properties
E_form ... 0.444 eV/atom
Total magnetic moment ... 10.77 μB/f.u.

a = 3.0879 Å, b = 3.0879 Å, c = 11.1502 Å
α = 82.04°, β = 82.04°, γ = 60.00°
Last column: nearest neighbours and their distance in Å.
Fractional positions:
Mg 0.0000 0.0000 0.0000  6 Mg 3.09, 2 Pu 3.21
V 0.5000 0.5000 0.5000  6 Pu 2.91, 6 V 3.09
Pu 0.0971 0.0971 0.7087  3 V 2.91, 6 Pu 3.09, 1 Mg 3.21
Pu 0.9029 0.9029 0.2913  3 V 2.91, 6 Pu 3.09, 1 Mg 3.21